{"formula": "Y2AlGa3Ir4", "functional": "PBE", "state": "relaxed", "cell": [[4.216, 0.000, 0.000], [0.000, 4.216, 0.000], [0.000, 0.000, 10.319]], "species": ["Y", "Y", "Al", "Ga", "Ga", "Ga", "Ir", "Ir", "Ir", "Ir"], "fractional_positions": [[0.500, 0.000, 0.234], [0.000, 0.500, 0.766], [0.500, 0.500, 0.500], [0.000, 0.000, 0.500], [0.500, 0.000, 0.871], [0.000, 0.500, 0.129], [0.500, 0.500, 0.000], [0.000, 0.000, 0.000], [0.500, 0.000, 0.633], [0.000, 0.500, 0.367]], "formation_enthalpy_0k_mev_per_atom": -758, "crystal_system": "tetragonal", "m_tot_mub_per_cell": 0.00}



{"formula": "HoMgZr2", "functional": "PBE", "state": "relaxed", "cell": [[3.202, 0.000, 0.000], [1.601, 2.773, 0.000], [1.601, 0.924, 11.567]], "species": ["Mg", "Ho", "Zr", "Zr"], "fractional_positions": [[0.000, 0.000, 0.000], [0.500, 0.500, 0.500], [0.087, 0.087, 0.738], [0.913, 0.913, 0.262]], "formation_enthalpy_0k_mev_per_atom": 307, "crystal_system": "trigonal", "de_polymorph_ev_per_atom": 0.2863, "m_tot_mub_per_cell": 0.00}



{"formula": "LiTaAsO5", "functional": "PBE", "state": "relaxed", "cell": [[5.748, -0.269, -0.154], [-1.935, 5.419, -0.154], [-1.756, -2.372, 6.961]], "species": ["Li", "Li", "Ta", "Ta", "As", "As", "O", "O", "O", "O", "O", "O", "O", "O", "O", "O"], "fractional_positions": [[0.277, 0.723, 0.250], [0.723, 0.277, 0.750], [0.000, 0.000, 0.500], [0.000, 0.000, 0.000], [0.709, 0.291, 0.250], [0.291, 0.709, 0.750], [0.067, 0.933, 0.250], [0.933, 0.067, 0.750], [0.970, 0.335, 0.132], [0.030, 0.665, 0.868], [0.665, 0.030, 0.368], [0.335, 0.970, 0.632], [0.784, 0.603, 0.432], [0.216, 0.397, 0.568], [0.397, 0.216, 0.068], [0.603, 0.784, 0.932]], "formation_energy_uncorrected_ev_per_atom": -1.966, "crystal_system": "monoclinic", "m_tot_mub_per_cell": 0.00}



{"formula": "La2OsPtC", "functional": "PBE", "state": "relaxed", "cell": [[-2.626, -3.285, -3.221], [-2.590, -2.010, 4.161], [-2.784, 2.663, -0.447]], "species": ["C", "Os", "Pt", "La", "La"], "fractional_positions": [[0.000, 0.000, 0.000], [0.000, 0.000, 0.500], [0.500, 0.500, 0.500], [0.000, 0.500, 0.000], [0.500, 0.000, 0.000]], "formation_enthalpy_0k_mev_per_atom": -470, "crystal_system": "tetragonal", "m_tot_mub_per_cell": 0.00}



{"formula": "Li3RhO3", "functional": "PBE", "state": "relaxed", "cell": [[-2.739, 0.551, 4.879], [-1.077, -4.533, 3.147], [2.901, -0.738, 4.952]], "species": ["Li", "Li", "Li", "Li", "Li", "Li", "Rh", "Rh", "O", "O", "O", "O", "O", "O"], "fractional_positions": [[0.391, 0.818, 0.668], [0.818, 0.123, 0.668], [0.123, 0.391, 0.668], [0.877, 0.609, 0.332], [0.182, 0.877, 0.332], [0.609, 0.182, 0.332], [0.334, 0.334, 0.998], [0.666, 0.666, 0.002], [0.282, 0.548, 0.241], [0.929, 0.282, 0.241], [0.548, 0.929, 0.241], [0.452, 0.071, 0.759], [0.071, 0.718, 0.759], [0.718, 0.452, 0.759]], "formation_energy_uncorrected_ev_per_atom": -1.446, "crystal_system": "trigonal", "m_tot_mub_per_cell": 0.00}



{"formula": "Dy5Er4Th2", "functional": "PBE", "state": "relaxed", "cell": [[3.445, 0.000, 0.000], [0.000, 11.439, 0.000], [-1.722, -5.719, 9.138]], "species": ["Dy", "Dy", "Dy", "Dy", "Dy", "Er", "Er", "Er", "Er", "Th", "Th"], "fractional_positions": [[0.823, 0.110, 0.645], [0.823, 0.535, 0.645], [0.177, 0.465, 0.355], [0.177, 0.890, 0.355], [0.500, 0.000, 0.000], [0.000, 0.275, 0.000], [0.590, 0.590, 0.180], [0.000, 0.725, 0.000], [0.410, 0.410, 0.820], [0.206, 0.206, 0.411], [0.794, 0.794, 0.589]], "formation_enthalpy_0k_mev_per_atom": 250, "crystal_system": "orthorhombic", "de_polymorph_ev_per_atom": 0.1954, "m_tot_mub_per_cell": 0.00}



{"formula": "CaY2Ni2", "functional": "PBE", "state": "relaxed", "cell": [[-3.715, -5.538, -3.815], [-1.610, -3.499, 6.647], [-3.269, 2.009, 0.266]], "species": ["Y", "Y", "Y", "Y", "Ni", "Ni", "Ni", "Ni", "Ca", "Ca"], "fractional_positions": [[0.161, 0.661, 0.500], [0.661, 0.839, 0.500], [0.839, 0.339, 0.500], [0.339, 0.161, 0.500], [0.379, 0.879, 0.000], [0.879, 0.621, 0.000], [0.621, 0.121, 0.000], [0.121, 0.379, 0.000], [0.000, 0.000, 0.000], [0.500, 0.500, 0.000]], "formation_enthalpy_0k_mev_per_atom": -245, "crystal_system": "tetragonal", "de_polymorph_ev_per_atom": 0.0000, "m_tot_mub_per_cell": 0.00}



{"formula": "Hf6Si2B", "functional": "PBE", "state": "relaxed", "cell": [[5.831, 0.000, 0.000], [0.000, 5.831, 0.000], [0.000, 0.000, 11.232]], "species": ["Hf", "Hf", "Hf", "Hf", "Hf", "Hf", "Hf", "Hf", "Hf", "Hf", "Hf", "Hf", "Si", "Si", "Si", "Si", "B", "B"], "fractional_positions": [[0.307, 0.307, 0.349], [0.693, 0.693, 0.349], [0.193, 0.807, 0.849], [0.807, 0.193, 0.849], [0.193, 0.807, 0.151], [0.807, 0.193, 0.151], [0.307, 0.307, 0.651], [0.693, 0.693, 0.651], [0.282, 0.282, 0.000], [0.718, 0.718, 0.000], [0.218, 0.782, 0.500], [0.782, 0.218, 0.500], [0.000, 0.000, 0.333], [0.500, 0.500, 0.833], [0.500, 0.500, 0.167], [0.000, 0.000, 0.667], [0.000, 0.000, 0.000], [0.500, 0.500, 0.500]], "formation_energy_uncorrected_ev_per_atom": -0.159, "crystal_system": "tetragonal", "m_tot_mub_per_cell": 0.00}